DFT (PBE with a Hubbard U) results for a geometry-optimized MgCo3Ni2O6 structure.

- Magnetization: 25.968 μB/cell
- Calculated total energy: -5.611 eV/atom

Unit cell a=13.1726 b=3.0183 c=6.0217 alpha=90.00 beta=103.31 gamma=90.00
Space group C2/m (No. 12)
Inequivalent atoms, fractional coordinates:
Mg 0.0000 0.0000 0.0000 (multiplicity 2)
Co 0.0000 0.0000 0.5000 (multiplicity 2)
Co 0.1683 0.5000 0.8324 (multiplicity 4)
Ni 0.1662 0.5000 0.3336 (multiplicity 4)
O 0.0008 0.5000 0.2465 (multiplicity 4)
O 0.1655 0.0000 0.0851 (multiplicity 4)
O 0.1683 0.0000 0.5808 (multiplicity 4)

---

DFT (PBE with a Hubbard U) results for a geometry-optimized Mg2CoNi2O6 structure.

- Magnetization: 10.000 μB/cell
- Calculated total energy: -5.467 eV/atom

Unit cell a=5.2138 b=8.6658 c=5.1248 alpha=90.00 beta=110.11 gamma=90.00
Space group C2/m (No. 12)
Inequivalent atoms, fractional coordinates:
Mg 0.0000 0.1712 0.0000 (multiplicity 4)
Co 0.0000 0.0000 0.5000 (multiplicity 2)
Ni 0.0000 0.3395 0.5000 (multiplicity 4)
O 0.2198 0.0000 0.2736 (multiplicity 4)
O 0.2214 0.1637 0.7324 (multiplicity 8)

---

DFT (PBE with a Hubbard U) results for a geometry-optimized Mg3CoNi2O6 structure.

- Magnetization: 14.037 μB/cell
- Calculated total energy: -5.618 eV/atom

Unit cell a=13.0437 b=3.0113 c=5.9950 alpha=90.00 beta=102.88 gamma=90.00
Space group C2/m (No. 12)
Inequivalent atoms, fractional coordinates:
Mg 0.0000 0.0000 0.0000 (multiplicity 2)
Mg 0.1669 0.5000 0.3317 (multiplicity 4)
Co 0.0000 0.0000 0.5000 (multiplicity 2)
Ni 0.1665 0.5000 0.8336 (multiplicity 4)
O 0.0009 0.5000 0.2447 (multiplicity 4)
O 0.1667 0.0000 0.0843 (multiplicity 4)
O 0.1678 0.0000 0.5819 (multiplicity 4)

---

DFT (PBE with a Hubbard U) results for a geometry-optimized Mg6CoNiO8 structure.

- Magnetization: 5.006 μB/cell
- Distance to the lowest polymorph of the same formula: 0.035 eV/atom
- Calculated total energy: -5.807 eV/atom

Unit cell a=4.2518 b=4.2518 c=8.5035 alpha=90.00 beta=90.00 gamma=90.00
Space group P4/mmm (No. 123)
Inequivalent atoms, fractional coordinates:
Mg 0.0000 0.0000 0.0000 (multiplicity 1)
Mg 0.0000 0.0000 0.5000 (multiplicity 1)
Mg 0.0000 0.5000 0.2501 (multiplicity 4)
Co 0.5000 0.5000 0.0000 (multiplicity 1)
Ni 0.5000 0.5000 0.5000 (multiplicity 1)
O 0.0000 0.0000 0.2500 (multiplicity 2)
O 0.0000 0.5000 0.0000 (multiplicity 2)
O 0.0000 0.5000 0.5000 (multiplicity 2)
O 0.5000 0.5000 0.2515 (multiplicity 2)

---

DFT (PBE with a Hubbard U) results for a geometry-optimized Mg14CoNiO16 structure.

- Magnetization: 5.000 μB/cell
- Calculated total energy: -5.893 eV/atom

Unit cell a=4.2512 b=8.5026 c=8.5689 alpha=90.00 beta=90.00 gamma=90.00
Space group Pmmm (No. 47)
Inequivalent atoms, fractional coordinates:
Mg 0.0000 0.0000 0.0000 (multiplicity 1)
Mg 0.0000 0.2505 0.2496 (multiplicity 4)
Mg 0.0000 0.5000 0.0000 (multiplicity 1)
Mg 0.5000 0.0000 0.2479 (multiplicity 2)
Mg 0.5000 0.2504 0.0000 (multiplicity 2)
Mg 0.5000 0.2507 0.5000 (multiplicity 2)
Mg 0.5000 0.5000 0.2513 (multiplicity 2)
Co 0.0000 0.0000 0.5000 (multiplicity 1)
Ni 0.0000 0.5000 0.5000 (multiplicity 1)
O 0.0000 0.0000 0.2412 (multiplicity 2)
O 0.0000 0.2513 0.5000 (multiplicity 2)
O 0.0000 0.2519 0.0000 (multiplicity 2)
O 0.0000 0.5000 0.2496 (multiplicity 2)
O 0.5000 0.0000 0.0000 (multiplicity 1)
O 0.5000 0.0000 0.5000 (multiplicity 1)
O 0.5000 0.2499 0.2508 (multiplicity 4)
O 0.5000 0.5000 0.0000 (multiplicity 1)
O 0.5000 0.5000 0.5000 (multiplicity 1)

---

DFT (PBE with a Hubbard U) results for a geometry-optimized MgCoNiO4 structure.

- Magnetization: 3.998 μB/cell
- Calculated total energy: -5.564 eV/atom

Unit cell a=5.7782 b=5.7969 c=8.3989 alpha=90.00 beta=90.00 gamma=90.00
Space group Imma (No. 74)
Inequivalent atoms, fractional coordinates:
Mg 0.0000 0.2500 0.1182 (multiplicity 4)
Co 0.2500 0.2500 0.7500 (multiplicity 4)
Ni 0.0000 0.0000 0.5000 (multiplicity 4)
O 0.0000 0.0289 0.7471 (multiplicity 8)
O 0.2272 0.2500 0.5236 (multiplicity 8)

---

DFT (PBE with a Hubbard U) results for a geometry-optimized Mg6CoNiO8 structure.

- Magnetization: 4.963 μB/cell
- Distance to the lowest polymorph of the same formula: 0.000 eV/atom
- Calculated total energy: -5.842 eV/atom

Unit cell a=4.2435 b=4.2435 c=8.5534 alpha=90.00 beta=90.00 gamma=90.00
Space group P4/mmm (No. 123)
Inequivalent atoms, fractional coordinates:
Mg 0.0000 0.0000 0.0000 (multiplicity 1)
Mg 0.0000 0.5000 0.2508 (multiplicity 4)
Mg 0.5000 0.5000 0.0000 (multiplicity 1)
Co 0.0000 0.0000 0.5000 (multiplicity 1)
Ni 0.5000 0.5000 0.5000 (multiplicity 1)
O 0.0000 0.0000 0.2455 (multiplicity 2)
O 0.0000 0.5000 0.0000 (multiplicity 2)
O 0.0000 0.5000 0.5000 (multiplicity 2)
O 0.5000 0.5000 0.2515 (multiplicity 2)

---

DFT (PBE with a Hubbard U) results for a geometry-optimized MgCo2NiO4 structure.

- Magnetization: 4.006 μB/cell
- Calculated total energy: -5.523 eV/atom

Unit cell a=5.5980 b=2.8518 c=5.6373 alpha=90.00 beta=117.76 gamma=90.00
Space group P2/m (No. 10)
Inequivalent atoms, fractional coordinates:
Mg 0.0000 0.0000 0.0000 (multiplicity 1)
Co 0.0000 0.0000 0.5000 (multiplicity 1)
Co 0.5000 0.5000 0.0000 (multiplicity 1)
Ni 0.5000 0.5000 0.5000 (multiplicity 1)
O 0.0739 0.5000 0.7664 (multiplicity 2)
O 0.4238 0.0000 0.2390 (multiplicity 2)